Run one
## BePIO2 (PBE)

Data for an optimized crystal structure of BePIO2.

Properties
For the density, the calculation gives 3.88 g/cm³.

abc: 3.916 3.916 5.550
angles: 90.00 90.00 90.00
Space group P4/mmm (No. 123)
Inequivalent atoms, fractional coordinates:
Be 0.000 0.000 0.000 (multiplicity 1)
P 0.500 0.500 0.000 (multiplicity 1)
I 0.500 0.500 0.500 (multiplicity 1)
O 0.000 0.500 0.500 (multiplicity 2)



Run two
## BePIO2 (PBE)

Data for an optimized crystal structure of BePIO2.

Properties
For the density, the calculation gives 3.79 g/cm³.

abc: 3.516 3.516 7.056
angles: 90.00 90.00 90.00
Space group P4/mmm (No. 123)
Inequivalent atoms, fractional coordinates:
Be 0.000 0.000 0.000 (multiplicity 1)
P 0.500 0.500 0.500 (multiplicity 1)
I 0.500 0.500 0.000 (multiplicity 1)
O 0.000 0.500 0.500 (multiplicity 2)



Stability check: which of them is least stable? run one.



Run one
## BeP2IO (PBE)

Data for an optimized crystal structure of BeP2IO.

Properties
For the density, the calculation gives 4.51 g/cm³.

abc: 4.978 4.978 3.181
angles: 90.00 90.00 90.00
Space group P4/mmm (No. 123)
Inequivalent atoms, fractional coordinates:
Be 0.000 0.000 0.000 (multiplicity 1)
P 0.000 0.500 0.000 (multiplicity 2)
I 0.500 0.500 0.500 (multiplicity 1)
O 0.000 0.000 0.500 (multiplicity 1)



Run two
## BeP2IO (PBE)

Data for an optimized crystal structure of BeP2IO.

Properties
For the density, the calculation gives 3.47 g/cm³.

abc: 5.135 5.135 3.884
angles: 90.00 90.00 90.00
Space group P4/mmm (No. 123)
Inequivalent atoms, fractional coordinates:
Be 0.000 0.000 0.000 (multiplicity 1)
P 0.000 0.500 0.500 (multiplicity 2)
I 0.500 0.500 0.500 (multiplicity 1)
O 0.500 0.500 0.000 (multiplicity 1)



Stability check: which of them is least stable? run two.



Run one
## BePbIO2 (PBE)

Data for an optimized crystal structure of BePbIO2.

Properties
For the density, the calculation gives 7.17 g/cm³.

abc: 4.172 4.172 4.992
angles: 90.00 90.00 90.00
Space group P4/mmm (No. 123)
Inequivalent atoms, fractional coordinates:
Be 0.000 0.000 0.000 (multiplicity 1)
Pb 0.500 0.500 0.500 (multiplicity 1)
I 0.000 0.000 0.500 (multiplicity 1)
O 0.000 0.500 0.000 (multiplicity 2)



Run two
## BePbIO2 (PBE)

Data for an optimized crystal structure of BePbIO2.

Properties
For the density, the calculation gives 5.07 g/cm³.

abc: 4.153 4.153 7.124
angles: 90.00 90.00 90.00
Space group P4/mmm (No. 123)
Inequivalent atoms, fractional coordinates:
Be 0.000 0.000 0.000 (multiplicity 1)
Pb 0.500 0.500 0.500 (multiplicity 1)
I 0.500 0.500 0.000 (multiplicity 1)
O 0.000 0.500 0.500 (multiplicity 2)



Stability check: which of them is least stable? run two.



Run one
## RbBeIO2 (PBE)

Data for an optimized crystal structure of RbBeIO2.

Properties
For the density, the calculation gives 4.34 g/cm³.

abc: 4.386 4.386 5.040
angles: 90.00 90.00 90.00
Space group P4/mmm (No. 123)
Inequivalent atoms, fractional coordinates:
Rb 0.000 0.000 0.000 (multiplicity 1)
Be 0.500 0.500 0.500 (multiplicity 1)
I 0.500 0.500 0.000 (multiplicity 1)
O 0.000 0.500 0.500 (multiplicity 2)



Run two
## RbBeIO2 (PBE)

Data for an optimized crystal structure of RbBeIO2.

Properties
For the density, the calculation gives 3.00 g/cm³.

abc: 4.386 4.386 7.285
angles: 90.00 90.00 90.00
Space group P4/mmm (No. 123)
Inequivalent atoms, fractional coordinates:
Rb 0.000 0.000 0.000 (multiplicity 1)
Be 0.500 0.500 0.500 (multiplicity 1)
I 0.000 0.000 0.500 (multiplicity 1)
O 0.000 0.500 0.000 (multiplicity 2)



Stability check: which of them is least stable? run two.



Run one
## BeReIO2 (PBE)

Data for an optimized crystal structure of BeReIO2.

Properties
For the density, the calculation gives 6.39 g/cm³.

abc: 3.788 3.788 6.416
angles: 90.00 90.00 90.00
Space group P4/mmm (No. 123)
Inequivalent atoms, fractional coordinates:
Be 0.000 0.000 0.000 (multiplicity 1)
Re 0.500 0.500 0.500 (multiplicity 1)
I 0.500 0.500 0.000 (multiplicity 1)
O 0.000 0.500 0.500 (multiplicity 2)



Run two
## BeReIO2 (PBE)

Data for an optimized crystal structure of BeReIO2.

Properties
For the density, the calculation gives 8.39 g/cm³.

abc: 3.747 3.747 4.989
angles: 90.00 90.00 90.00
Space group P4/mmm (No. 123)
Inequivalent atoms, fractional coordinates:
Be 0.000 0.000 0.000 (multiplicity 1)
Re 0.500 0.500 0.500 (multiplicity 1)
I 0.000 0.000 0.500 (multiplicity 1)
O 0.000 0.500 0.000 (multiplicity 2)



Stability check: which of them is least stable? run two.



Run one
## BeReI2O (PBE)

Data for an optimized crystal structure of BeReI2O.

Properties
For the density, the calculation gives 6.65 g/cm³.

abc: 5.561 5.561 3.758
angles: 90.00 90.00 90.00
Space group P4/mmm (No. 123)
Inequivalent atoms, fractional coordinates:
Be 0.000 0.000 0.000 (multiplicity 1)
Re 0.500 0.500 0.500 (multiplicity 1)
I 0.000 0.500 0.500 (multiplicity 2)
O 0.500 0.500 0.000 (multiplicity 1)



Run two
## BeReI2O (PBE)

Data for an optimized crystal structure of BeReI2O.

Properties
For the density, the calculation gives 7.77 g/cm³.

abc: 5.740 5.740 3.016
angles: 90.00 90.00 90.00
Space group P4/mmm (No. 123)
Inequivalent atoms, fractional coordinates:
Be 0.000 0.000 0.000 (multiplicity 1)
Re 0.500 0.500 0.500 (multiplicity 1)
I 0.000 0.500 0.000 (multiplicity 2)
O 0.000 0.000 0.500 (multiplicity 1)



Stability check: which of them is least stable? run one.



Run one
## BeRhIO2 (PBE)

Data for an optimized crystal structure of BeRhIO2.

Properties
For the density, the calculation gives 5.59 g/cm³.

abc: 3.566 3.566 6.330
angles: 90.00 90.00 90.00
Space group P4/mmm (No. 123)
Inequivalent atoms, fractional coordinates:
Be 0.000 0.000 0.000 (multiplicity 1)
Rh 0.500 0.500 0.500 (multiplicity 1)
I 0.000 0.000 0.500 (multiplicity 1)
O 0.000 0.500 0.000 (multiplicity 2)



Run two
## BeRhIO2 (PBE)

Data for an optimized crystal structure of BeRhIO2.

Properties
For the density, the calculation gives 4.13 g/cm³.

abc: 3.745 3.745 7.759
angles: 90.00 90.00 90.00
Space group P4/mmm (No. 123)
Inequivalent atoms, fractional coordinates:
Be 0.000 0.000 0.000 (multiplicity 1)
Rh 0.500 0.500 0.500 (multiplicity 1)
I 0.500 0.500 0.000 (multiplicity 1)
O 0.000 0.500 0.500 (multiplicity 2)



Stability check: which of them is least stable? run two.



Run one
## BeRhI2O (PBE)

Data for an optimized crystal structure of BeRhI2O.

Properties
For the density, the calculation gives 6.75 g/cm³.

abc: 5.597 5.597 2.997
angles: 90.00 90.00 90.00
Space group P4/mmm (No. 123)
Inequivalent atoms, fractional coordinates:
Be 0.000 0.000 0.000 (multiplicity 1)
Rh 0.500 0.500 0.500 (multiplicity 1)
I 0.000 0.500 0.000 (multiplicity 2)
O 0.000 0.000 0.500 (multiplicity 1)



Run two
## BeRhI2O (PBE)

Data for an optimized crystal structure of BeRhI2O.

Properties
For the density, the calculation gives 5.47 g/cm³.

abc: 5.565 5.565 3.742
angles: 90.00 90.00 90.00
Space group P4/mmm (No. 123)
Inequivalent atoms, fractional coordinates:
Be 0.000 0.000 0.000 (multiplicity 1)
Rh 0.500 0.500 0.500 (multiplicity 1)
I 0.000 0.500 0.500 (multiplicity 2)
O 0.500 0.500 0.000 (multiplicity 1)



Stability check: which of them is least stable? run two.



Run one
## BeRuIO2 (PBE)

Data for an optimized crystal structure of BeRuIO2.

Properties
For the density, the calculation gives 5.92 g/cm³.

abc: 3.584 3.584 5.870
angles: 90.00 90.00 90.00
Space group P4/mmm (No. 123)
Inequivalent atoms, fractional coordinates:
Be 0.000 0.000 0.000 (multiplicity 1)
Ru 0.500 0.500 0.500 (multiplicity 1)
I 0.000 0.000 0.500 (multiplicity 1)
O 0.000 0.500 0.000 (multiplicity 2)



Run two
## BeRuIO2 (PBE)

Data for an optimized crystal structure of BeRuIO2.

Properties
For the density, the calculation gives 3.97 g/cm³.

abc: 3.718 3.718 8.136
angles: 90.00 90.00 90.00
Space group P4/mmm (No. 123)
Inequivalent atoms, fractional coordinates:
Be 0.000 0.000 0.000 (multiplicity 1)
Ru 0.500 0.500 0.500 (multiplicity 1)
I 0.500 0.500 0.000 (multiplicity 1)
O 0.000 0.500 0.500 (multiplicity 2)



Stability check: which of them is least stable? run one.



Run one
## BeRuI2O (PBE)

Data for an optimized crystal structure of BeRuI2O.

Properties
For the density, the calculation gives 5.58 g/cm³.

abc: 5.497 5.497 3.739
angles: 90.00 90.00 90.00
Space group P4/mmm (No. 123)
Inequivalent atoms, fractional coordinates:
Be 0.000 0.000 0.000 (multiplicity 1)
Ru 0.500 0.500 0.500 (multiplicity 1)
I 0.000 0.500 0.500 (multiplicity 2)
O 0.500 0.500 0.000 (multiplicity 1)



Run two
## BeRuI2O (PBE)

Data for an optimized crystal structure of BeRuI2O.

Properties
For the density, the calculation gives 5.81 g/cm³.

abc: 6.077 6.077 2.941
angles: 90.00 90.00 90.00
Space group P4/mmm (No. 123)
Inequivalent atoms, fractional coordinates:
Be 0.000 0.000 0.000 (multiplicity 1)
Ru 0.500 0.500 0.500 (multiplicity 1)
I 0.000 0.500 0.000 (multiplicity 2)
O 0.000 0.000 0.500 (multiplicity 1)



Stability check: which of them is least stable? run one.



Run one
## BeSI2O (PBE)

Data for an optimized crystal structure of BeSI2O.

Properties
For the density, the calculation gives 4.31 g/cm³.

abc: 6.436 6.436 2.892
angles: 90.00 90.00 90.00
Space group P4/mmm (No. 123)
Inequivalent atoms, fractional coordinates:
Be 0.000 0.000 0.000 (multiplicity 1)
S 0.500 0.500 0.500 (multiplicity 1)
I 0.000 0.500 0.000 (multiplicity 2)
O 0.000 0.000 0.500 (multiplicity 1)



Run two
## BeSI2O (PBE)

Data for an optimized crystal structure of BeSI2O.

Properties
For the density, the calculation gives 4.55 g/cm³.

abc: 5.610 5.610 3.607
angles: 90.00 90.00 90.00
Space group P4/mmm (No. 123)
Inequivalent atoms, fractional coordinates:
Be 0.000 0.000 0.000 (multiplicity 1)
S 0.500 0.500 0.500 (multiplicity 1)
I 0.000 0.500 0.500 (multiplicity 2)
O 0.500 0.500 0.000 (multiplicity 1)



Run three
## BeSI2O (PBE)

Data for an optimized crystal structure of BeSI2O.

Properties
For the density, the calculation gives 4.68 g/cm³.

abc: 5.245 5.245 4.007
angles: 90.00 90.00 90.00
Space group P4/mmm (No. 123)
Inequivalent atoms, fractional coordinates:
Be 0.000 0.000 0.000 (multiplicity 1)
S 0.000 0.000 0.500 (multiplicity 1)
I 0.000 0.500 0.000 (multiplicity 2)
O 0.500 0.500 0.500 (multiplicity 1)



Stability check: which of them is least stable? run three.



Run one
## BeSbIO2 (PBE)

Data for an optimized crystal structure of BeSbIO2.

Properties
For the density, the calculation gives 6.17 g/cm³.

abc: 4.083 4.083 4.676
angles: 90.00 90.00 90.00
Space group P4/mmm (No. 123)
Inequivalent atoms, fractional coordinates:
Be 0.000 0.000 0.000 (multiplicity 1)
Sb 0.500 0.500 0.500 (multiplicity 1)
I 0.000 0.000 0.500 (multiplicity 1)
O 0.000 0.500 0.000 (multiplicity 2)



Run two
## BeSbIO2 (PBE)

Data for an optimized crystal structure of BeSbIO2.

Properties
For the density, the calculation gives 4.29 g/cm³.

abc: 4.002 4.002 6.999
angles: 90.00 90.00 90.00
Space group P4/mmm (No. 123)
Inequivalent atoms, fractional coordinates:
Be 0.000 0.000 0.000 (multiplicity 1)
Sb 0.500 0.500 0.500 (multiplicity 1)
I 0.500 0.500 0.000 (multiplicity 1)
O 0.000 0.500 0.500 (multiplicity 2)



Stability check: which of them is least stable? run one.



Run one
## ScBeI2O (PBE)

Data for an optimized crystal structure of ScBeI2O.

Properties
For the density, the calculation gives 5.19 g/cm³.

abc: 5.629 5.629 3.270
angles: 90.00 90.00 90.00
Space group P4/mmm (No. 123)
Inequivalent atoms, fractional coordinates:
Sc 0.000 0.000 0.000 (multiplicity 1)
Be 0.500 0.500 0.500 (multiplicity 1)
I 0.000 0.500 0.500 (multiplicity 2)
O 0.500 0.500 0.000 (multiplicity 1)



Run two
## ScBeI2O (PBE)

Data for an optimized crystal structure of ScBeI2O.

Properties
For the density, the calculation gives 4.02 g/cm³.

abc: 5.875 5.875 3.877
angles: 90.00 90.00 90.00
Space group P4/mmm (No. 123)
Inequivalent atoms, fractional coordinates:
Sc 0.000 0.000 0.000 (multiplicity 1)
Be 0.500 0.500 0.500 (multiplicity 1)
I 0.000 0.500 0.000 (multiplicity 2)
O 0.000 0.000 0.500 (multiplicity 1)



Stability check: which of them is least stable? run two.



Run one
## ScBeIO2 (PBE)

Data for an optimized crystal structure of ScBeIO2.

Properties
For the density, the calculation gives 4.98 g/cm³.

abc: 3.889 3.889 4.692
angles: 90.00 90.00 90.00
Space group P4/mmm (No. 123)
Inequivalent atoms, fractional coordinates:
Sc 0.000 0.000 0.000 (multiplicity 1)
Be 0.500 0.500 0.500 (multiplicity 1)
I 0.500 0.500 0.000 (multiplicity 1)
O 0.000 0.500 0.500 (multiplicity 2)



Run two
## ScBeIO2 (PBE)

Data for an optimized crystal structure of ScBeIO2.

Properties
For the density, the calculation gives 3.59 g/cm³.

abc: 3.973 3.973 6.243
angles: 90.00 90.00 90.00
Space group P4/mmm (No. 123)
Inequivalent atoms, fractional coordinates:
Sc 0.000 0.000 0.000 (multiplicity 1)
Be 0.500 0.500 0.500 (multiplicity 1)
I 0.000 0.000 0.500 (multiplicity 1)
O 0.000 0.500 0.000 (multiplicity 2)



Stability check: which of them is least stable? run one.